[1]
Entry from the Alexandria database: an optimized crystal structure of Pa2PPdN5 (GGA-PBE). Values from VASP.

Properties
Energy relative to the elements, uncorrected, eV/atom: -0.560

Quantum ESPRESSO input file:
```
&SYSTEM
  ibrav = 0, nat = 18, ntyp = 4
/
ATOMIC_SPECIES
Pa 231.04 Pa.upf
P 30.97 P.upf
Pd 106.42 Pd.upf
N 14.01 N.upf
ATOMIC_POSITIONS crystal
Pa 0.187 0.313 0.000
Pa 0.313 0.813 0.000
Pa 0.687 0.187 0.000
Pa 0.813 0.687 0.000
P 0.000 0.500 0.500
P 0.500 0.000 0.500
Pd 0.000 0.000 0.500
Pd 0.500 0.500 0.500
N 0.000 0.000 0.000
N 0.124 0.624 0.263
N 0.124 0.624 0.737
N 0.376 0.124 0.263
N 0.376 0.124 0.737
N 0.500 0.500 0.000
N 0.624 0.876 0.263
N 0.624 0.876 0.737
N 0.876 0.376 0.263
N 0.876 0.376 0.737
CELL_PARAMETERS angstrom
6.724 0.000 0.000
0.000 6.724 0.000
0.000 0.000 5.215
```

[2]
Entry from the Alexandria database: an optimized crystal structure of AcLaSmPt2 (GGA-PBE). Values from VASP.

Properties
DFT formation energy, eV per atom: -0.95

Quantum ESPRESSO input file:
```
&SYSTEM
  ibrav = 0, nat = 10, ntyp = 4
/
ATOMIC_SPECIES
Ac 227.00 Ac.upf
La 138.91 La.upf
Sm 150.36 Sm.upf
Pt 195.08 Pt.upf
ATOMIC_POSITIONS crystal
Ac 0.047 0.047 0.229
Ac 0.953 0.953 0.771
La 0.258 0.258 0.869
La 0.742 0.742 0.131
Sm 0.369 0.369 0.456
Sm 0.631 0.631 0.544
Pt 0.267 0.267 0.613
Pt 0.400 0.400 0.221
Pt 0.600 0.600 0.779
Pt 0.733 0.733 0.387
CELL_PARAMETERS angstrom
7.667 -2.315 0.000
7.667 2.315 0.000
-7.579 0.000 8.752
```

[3]
Entry from the Alexandria database: an optimized crystal structure of Pr2Sn4Pd (GGA-PBE). Values from VASP.

Properties
DFT formation energy, eV per atom: -0.54

Quantum ESPRESSO input file:
```
&SYSTEM
  ibrav = 0, nat = 7, ntyp = 3
/
ATOMIC_SPECIES
Pr 140.91 Pr.upf
Sn 118.71 Sn.upf
Pd 106.42 Pd.upf
ATOMIC_POSITIONS crystal
Pr 0.000 0.000 0.500
Pr 0.500 0.500 0.000
Sn 0.008 0.500 0.500
Sn 0.008 0.501 0.992
Sn 0.500 0.008 0.992
Sn 0.501 0.008 0.499
Pd 0.583 0.583 0.417
CELL_PARAMETERS angstrom
0.000 4.488 4.914
4.479 0.000 4.914
4.479 4.488 0.000
```

[4]
Entry from the Alexandria database: an optimized crystal structure of LiMgAl3 (GGA-PBE). Values from VASP.

Properties
DFT formation energy, eV per atom: 0.42

Quantum ESPRESSO input file:
```
&SYSTEM
  ibrav = 0, nat = 5, ntyp = 3
/
ATOMIC_SPECIES
Li 6.94 Li.upf
Mg 24.30 Mg.upf
Al 26.98 Al.upf
ATOMIC_POSITIONS crystal
Li 0.000 0.000 0.000
Mg 0.500 0.500 0.500
Al 0.000 0.000 0.500
Al 0.000 0.500 0.000
Al 0.500 0.000 0.000
CELL_PARAMETERS angstrom
4.575 0.000 0.000
0.000 4.575 0.000
0.000 0.000 4.575
```

[5]
Entry from the Alexandria database: an optimized crystal structure of Dy12Pd6Ru (GGA-PBE). Values from VASP.

Properties
DFT formation energy, eV per atom: -0.52

Quantum ESPRESSO input file:
```
&SYSTEM
  ibrav = 0, nat = 19, ntyp = 3
/
ATOMIC_SPECIES
Dy 162.50 Dy.upf
Pd 106.42 Pd.upf
Ru 101.07 Ru.upf
ATOMIC_POSITIONS crystal
Dy 0.038 0.681 0.920
Dy 0.080 0.962 0.319
Dy 0.181 0.417 0.576
Dy 0.319 0.080 0.962
Dy 0.417 0.576 0.181
Dy 0.424 0.819 0.583
Dy 0.576 0.181 0.417
Dy 0.583 0.424 0.819
Dy 0.681 0.920 0.038
Dy 0.819 0.583 0.424
Dy 0.920 0.038 0.681
Dy 0.962 0.319 0.080
Pd 0.132 0.622 0.314
Pd 0.314 0.132 0.622
Pd 0.378 0.686 0.868
Pd 0.622 0.314 0.132
Pd 0.686 0.868 0.378
Pd 0.868 0.378 0.686
Ru 0.000 0.000 0.000
CELL_PARAMETERS angstrom
6.237 3.601 3.928
-6.237 3.601 3.928
0.000 -7.202 3.928
```

[6]
Entry from the Alexandria database: an optimized crystal structure of Tb8Te4P3Se (GGA-PBE). Values from VASP.

Properties
Energy relative to the elements, uncorrected, eV/atom: -1.578

Quantum ESPRESSO input file:
```
&SYSTEM
  ibrav = 0, nat = 16, ntyp = 4
/
ATOMIC_SPECIES
Tb 158.93 Tb.upf
Te 127.60 Te.upf
P 30.97 P.upf
Se 78.96 Se.upf
ATOMIC_POSITIONS crystal
Tb 0.226 0.743 0.743
Tb 0.236 0.236 0.236
Tb 0.257 0.257 0.774
Tb 0.257 0.774 0.257
Tb 0.743 0.226 0.743
Tb 0.743 0.743 0.226
Tb 0.764 0.764 0.764
Tb 0.774 0.257 0.257
Te 0.000 0.000 0.000
Te 0.000 0.500 0.500
Te 0.500 0.000 0.500
Te 0.500 0.500 0.000
P 0.000 0.000 0.500
P 0.000 0.500 0.000
P 0.500 0.000 0.000
Se 0.500 0.500 0.500
CELL_PARAMETERS angstrom
4.145 2.393 7.100
-4.145 2.393 7.100
0.000 -4.787 7.100
```

| no. | size of the total moment (Bohr magnetons per cell) |
| --- | --- |
| 1 | 0.0 |
| 2 | 0.0 |
| 3 | 0.0 |
| 4 | 0.0 |
| 5 | 0.0 |
| 6 | 0.0 |